PBE-GGA K2Tl5Pb, relaxed; E = -2.28 eV per atom; SG = Cm (8); DOS at the Fermi energy = 3.3 states/eV per cell; energy above the lowest structure with this stoichiometry = 25.3 meV per atom
1.0
-1.272 -4.615 -6.569
-0.088 -7.151 3.858
-3.397 7.028 2.098
K Tl Pb
2 5 1
direct
0.667 0.277 0.441
0.277 0.667 0.440
0.715 0.715 0.051
0.221 0.221 0.824
0.821 0.821 0.589
0.684 0.265 0.952
0.265 0.683 0.952
0.128 0.128 0.306